A plane-wave DFT calculation with SCAN was carried out for LiCu2F6 at its PBEsol-relaxed geometry.

Calculated values
Formation energy (no corrections)   -2.081 eV per atom
Total DFT energy (no corrections)   -145.512 eV/cell
E above lowest polymorph   0 meV per atom

```
data_LiCu2F6
_cell_length_a 4.584
_cell_length_b 4.584
_cell_length_c 8.968
_cell_angle_alpha 90.00
_cell_angle_beta 90.00
_cell_angle_gamma 90.00
_symmetry_space_group_name_H-M 'P 42/m n m'
_symmetry_Int_Tables_number 136
_symmetry_space_group_name_Hall '-P 4n 2n'
loop_
_atom_site_label
_atom_site_fract_x
_atom_site_fract_y
_atom_site_fract_z
Li1 0.000 0.000 0.000
Cu1 0.000 0.000 0.331
F1 0.191 0.191 0.500
F2 0.199 0.199 0.171
```



A plane-wave DFT calculation with SCAN was carried out for FeCo3 at its PBEsol-relaxed geometry.

Calculated values
Formation energy from the elements   -0.073 eV/atom
Total DFT energy (no corrections)   -140.671 eV/cell

```
data_FeCo3
_cell_length_a 4.654
_cell_length_b 3.893
_cell_length_c 4.818
_cell_angle_alpha 90.00
_cell_angle_beta 101.31
_cell_angle_gamma 90.00
_symmetry_space_group_name_H-M 'P 1 21/m 1'
_symmetry_Int_Tables_number 11
loop_
_symmetry_equiv_pos_as_xyz
'x,y,z'
'-x,-y,-z'
'-x,y+1/2,-z'
'x,-y+1/2,z'
loop_
_atom_site_label
_atom_site_fract_x
_atom_site_fract_y
_atom_site_fract_z
Fe1 0.127 0.250 0.440
Co1 0.126 0.250 0.943
Co2 0.374 0.750 0.823
Co3 0.375 0.750 0.320
```



A plane-wave DFT calculation with SCAN was carried out for Li2YPt at its PBEsol-relaxed geometry.

Calculated values
Formation energy from the elements   -0.662 eV/atom
Total DFT energy (no corrections)   -210.930 eV/cell
E above lowest polymorph   13 meV per atom

```
data_Li2YPt
_cell_length_a 4.663
_cell_length_b 4.692
_cell_length_c 6.613
_cell_angle_alpha 90.00
_cell_angle_beta 90.00
_cell_angle_gamma 90.00
_symmetry_space_group_name_H-M 'I m m 2'
_symmetry_Int_Tables_number 44
loop_
_symmetry_equiv_pos_as_xyz
'x,y,z'
'-x,-y,z'
'-x,y,z'
'x,-y,z'
'x+1/2,y+1/2,z+1/2'
'-x+1/2,-y+1/2,z+1/2'
'-x+1/2,y+1/2,z+1/2'
'x+1/2,-y+1/2,z+1/2'
loop_
_atom_site_label
_atom_site_fract_x
_atom_site_fract_y
_atom_site_fract_z
Li1 0.000 0.000 0.000
Li2 0.000 0.500 0.252
Y1 0.000 0.000 0.499
Pt1 0.000 0.500 0.748
```



The highest total DFT energy (no corrections) belongs to which entry? FeCo3



Which formula does entry 2 have? FeCo3



What is the total DFT energy (no corrections) in the third record? -210.930 eV/cell